P.
The following is a PBE calculation of a geometry-optimized TaTiSe2Br structure, from Alexandria.

Cell and atoms, written as CIF:
```
data_TaTiSe2Br
_symmetry_space_group_name_H-M 'P 4/m m m'
_symmetry_Int_Tables_number 123
_symmetry_space_group_name_Hall '-P 4 2'
_cell_length_a 5.037
_cell_length_b 5.037
_cell_length_c 5.087
_cell_angle_alpha 90.00
_cell_angle_beta 90.00
_cell_angle_gamma 90.00
loop_
_atom_site_label
_atom_site_fract_x
_atom_site_fract_y
_atom_site_fract_z
_atom_site_occupancy
Ta1 0.000 0.000 0.000 1
Ti1 0.500 0.500 0.500 1
Se1 0.000 0.500 0.000 1
Br1 0.000 0.000 0.500 1
```

Total magnetic moment: 0.1 μB per formula unit
Density of states at the Fermi level: 8.30 states/eV/f.u.

=====

Q.
The following is a PBE calculation of a geometry-optimized TaTiSe2Br structure, from Alexandria.

Cell and atoms, written as CIF:
```
data_TaTiSe2Br
_symmetry_space_group_name_H-M 'P 4/m m m'
_symmetry_Int_Tables_number 123
_symmetry_space_group_name_Hall '-P 4 2'
_cell_length_a 4.985
_cell_length_b 4.985
_cell_length_c 4.852
_cell_angle_alpha 90.00
_cell_angle_beta 90.00
_cell_angle_gamma 90.00
loop_
_atom_site_label
_atom_site_fract_x
_atom_site_fract_y
_atom_site_fract_z
_atom_site_occupancy
Ta1 0.000 0.000 0.000 1
Ti1 0.500 0.500 0.500 1
Se1 0.000 0.500 0.500 1
Br1 0.500 0.500 0.000 1
```

Total magnetic moment: 3.8 μB per formula unit
Density of states at the Fermi level: 5.73 states/eV/f.u.

=====

Most stable one: P, least stable one: Q.

=====

P.
The following is a PBE calculation of a geometry-optimized TaVSeBr2 structure, from Alexandria.

Cell and atoms, written as CIF:
```
data_TaVSeBr2
_symmetry_space_group_name_H-M 'P 4/m m m'
_symmetry_Int_Tables_number 123
_symmetry_space_group_name_Hall '-P 4 2'
_cell_length_a 4.938
_cell_length_b 4.938
_cell_length_c 5.071
_cell_angle_alpha 90.00
_cell_angle_beta 90.00
_cell_angle_gamma 90.00
loop_
_atom_site_label
_atom_site_fract_x
_atom_site_fract_y
_atom_site_fract_z
_atom_site_occupancy
Ta1 0.000 0.000 0.000 1
V1 0.500 0.500 0.500 1
Se1 0.500 0.500 0.000 1
Br1 0.000 0.500 0.500 1
```

Total magnetic moment: 6.0 μB per formula unit
Density of states at the Fermi level: 5.14 states/eV/f.u.

=====

Q.
The following is a PBE calculation of a geometry-optimized TaVSeBr2 structure, from Alexandria.

Cell and atoms, written as CIF:
```
data_TaVSeBr2
_symmetry_space_group_name_H-M 'P 4/m m m'
_symmetry_Int_Tables_number 123
_symmetry_space_group_name_Hall '-P 4 2'
_cell_length_a 5.127
_cell_length_b 5.127
_cell_length_c 5.087
_cell_angle_alpha 90.00
_cell_angle_beta 90.00
_cell_angle_gamma 90.00
loop_
_atom_site_label
_atom_site_fract_x
_atom_site_fract_y
_atom_site_fract_z
_atom_site_occupancy
Ta1 0.000 0.000 0.000 1
V1 0.500 0.500 0.500 1
Se1 0.000 0.000 0.500 1
Br1 0.000 0.500 0.000 1
```

Total magnetic moment: 4.5 μB per formula unit
Density of states at the Fermi level: 7.31 states/eV/f.u.

=====

Most stable one: Q, least stable one: P.

=====

P.
The following is a PBE calculation of a geometry-optimized TaVSe2Br structure, from Alexandria.

Cell and atoms, written as CIF:
```
data_TaVSe2Br
_symmetry_space_group_name_H-M 'P 4/m m m'
_symmetry_Int_Tables_number 123
_symmetry_space_group_name_Hall '-P 4 2'
_cell_length_a 4.893
_cell_length_b 4.893
_cell_length_c 4.842
_cell_angle_alpha 90.00
_cell_angle_beta 90.00
_cell_angle_gamma 90.00
loop_
_atom_site_label
_atom_site_fract_x
_atom_site_fract_y
_atom_site_fract_z
_atom_site_occupancy
Ta1 0.000 0.000 0.000 1
V1 0.500 0.500 0.500 1
Se1 0.000 0.500 0.500 1
Br1 0.500 0.500 0.000 1
```

Total magnetic moment: 5.0 μB per formula unit
Density of states at the Fermi level: 3.76 states/eV/f.u.

=====

Q.
The following is a PBE calculation of a geometry-optimized TaVSe2Br structure, from Alexandria.

Cell and atoms, written as CIF:
```
data_TaVSe2Br
_symmetry_space_group_name_H-M 'P 4/m m m'
_symmetry_Int_Tables_number 123
_symmetry_space_group_name_Hall '-P 4 2'
_cell_length_a 5.062
_cell_length_b 5.062
_cell_length_c 5.061
_cell_angle_alpha 90.00
_cell_angle_beta 90.00
_cell_angle_gamma 90.00
loop_
_atom_site_label
_atom_site_fract_x
_atom_site_fract_y
_atom_site_fract_z
_atom_site_occupancy
Ta1 0.000 0.000 0.000 1
V1 0.500 0.500 0.500 1
Se1 0.000 0.500 0.000 1
Br1 0.000 0.000 0.500 1
```

Total magnetic moment: 3.9 μB per formula unit
Density of states at the Fermi level: 9.24 states/eV/f.u.

=====

Most stable one: Q, least stable one: P.

=====

P.
The following is a PBE calculation of a geometry-optimized ZrTaSeBr2 structure, from Alexandria.

Cell and atoms, written as CIF:
```
data_ZrTaSeBr2
_symmetry_space_group_name_H-M 'P 4/m m m'
_symmetry_Int_Tables_number 123
_symmetry_space_group_name_Hall '-P 4 2'
_cell_length_a 5.242
_cell_length_b 5.242
_cell_length_c 5.295
_cell_angle_alpha 90.00
_cell_angle_beta 90.00
_cell_angle_gamma 90.00
loop_
_atom_site_label
_atom_site_fract_x
_atom_site_fract_y
_atom_site_fract_z
_atom_site_occupancy
Zr1 0.000 0.000 0.000 1
Ta1 0.500 0.500 0.500 1
Se1 0.000 0.000 0.500 1
Br1 0.000 0.500 0.000 1
```

Total magnetic moment: 4.0 μB per formula unit
Density of states at the Fermi level: 7.94 states/eV/f.u.

=====

Q.
The following is a PBE calculation of a geometry-optimized ZrTaSeBr2 structure, from Alexandria.

Cell and atoms, written as CIF:
```
data_ZrTaSeBr2
_symmetry_space_group_name_H-M 'P 4/m m m'
_symmetry_Int_Tables_number 123
_symmetry_space_group_name_Hall '-P 4 2'
_cell_length_a 5.099
_cell_length_b 5.099
_cell_length_c 5.066
_cell_angle_alpha 90.00
_cell_angle_beta 90.00
_cell_angle_gamma 90.00
loop_
_atom_site_label
_atom_site_fract_x
_atom_site_fract_y
_atom_site_fract_z
_atom_site_occupancy
Zr1 0.000 0.000 0.000 1
Ta1 0.500 0.500 0.500 1
Se1 0.500 0.500 0.000 1
Br1 0.000 0.500 0.500 1
```

Total magnetic moment: 3.4 μB per formula unit
Density of states at the Fermi level: 6.04 states/eV/f.u.

=====

Most stable one: Q, least stable one: P.

=====

P.
The following is a PBE calculation of a geometry-optimized TcSe2Br structure, from Alexandria.

Cell and atoms, written as CIF:
```
data_TcSe2Br
_symmetry_space_group_name_H-M 'P 1'
_symmetry_Int_Tables_number 1
_symmetry_space_group_name_Hall 'P 1'
_cell_length_a 3.361
_cell_length_b 7.934
_cell_length_c 8.756
_cell_angle_alpha 74.96
_cell_angle_beta 78.99
_cell_angle_gamma 78.52
loop_
_atom_site_label
_atom_site_fract_x
_atom_site_fract_y
_atom_site_fract_z
_atom_site_occupancy
Tc1 0.000 0.000 0.000 1
Tc2 0.458 0.829 0.246 1
Se1 0.371 0.698 0.544 1
Se2 0.545 0.506 0.375 1
Se3 0.617 0.771 0.981 1
Se4 0.841 0.048 0.273 1
Br1 0.133 0.048 0.688 1
Br2 0.404 0.271 0.938 1
```

Total magnetic moment: 0.4 μB per formula unit
Density of states at the Fermi level: 1.68 states/eV/f.u.

=====

Q.
The following is a PBE calculation of a geometry-optimized TcSe2Br structure, from Alexandria.

Cell and atoms, written as CIF:
```
data_TcSe2Br
_symmetry_space_group_name_H-M 'I m m a'
_symmetry_Int_Tables_number 74
_symmetry_space_group_name_Hall '-I 2b 2'
_cell_length_a 5.837
_cell_length_b 7.550
_cell_length_c 8.604
_cell_angle_alpha 90.00
_cell_angle_beta 90.00
_cell_angle_gamma 90.00
loop_
_atom_site_label
_atom_site_fract_x
_atom_site_fract_y
_atom_site_fract_z
_atom_site_occupancy
Tc1 0.250 0.250 0.250 1
Se1 0.000 0.002 0.146 1
Br1 0.000 0.250 0.496 1
```

Total magnetic moment: 0.9 μB per formula unit
Density of states at the Fermi level: 3.40 states/eV/f.u.

=====

R.
The following is a PBE calculation of a geometry-optimized TcSe2Br structure, from Alexandria.

Cell and atoms, written as CIF:
```
data_TcSe2Br
_symmetry_space_group_name_H-M 'P 4/m m m'
_symmetry_Int_Tables_number 123
_symmetry_space_group_name_Hall '-P 4 2'
_cell_length_a 3.932
_cell_length_b 3.932
_cell_length_c 5.298
_cell_angle_alpha 90.00
_cell_angle_beta 90.00
_cell_angle_gamma 90.00
loop_
_atom_site_label
_atom_site_fract_x
_atom_site_fract_y
_atom_site_fract_z
_atom_site_occupancy
Tc1 0.000 0.000 0.000 1
Se1 0.000 0.000 0.500 1
Se2 0.500 0.500 0.000 1
Br1 0.500 0.500 0.500 1
```

Total magnetic moment: 1.4 μB per formula unit
Density of states at the Fermi level: 2.62 states/eV/f.u.

=====

Most stable one: P, least stable one: R.